# 1
3
Lattice="3.717 0.000 0.000 -1.858 3.219 0.000 0.000 0.000 6.511" Properties=species:S:1:pos:R:3 comment="AcDyO, optimized geometry, DFT PBE" dos_ef_per_ev_atom=0.51 crystal_system=trigonal final_energy_ha_per_atom=-0.228 pbc="T T T"
Ac 0.000 0.000 0.000
Dy 1.858 1.073 3.500
O 0.000 2.146 4.289

# 2
4
Lattice="2.195 1.267 7.816 -2.195 1.267 7.816 0.000 -2.535 7.816" Properties=species:S:1:pos:R:3 comment="EuThTe2, optimized geometry, DFT PBE" dos_ef_per_ev_atom=0.74 crystal_system=trigonal final_energy_ha_per_atom=-0.268 pbc="T T T"
Eu 0.000 0.000 0.000
Th 0.000 0.000 11.725
Te 0.000 0.000 5.859
Te 0.000 0.000 17.591

# 3
5
Lattice="5.110 0.000 0.000 0.000 5.110 0.000 0.000 0.000 5.881" Properties=species:S:1:pos:R:3 comment="ReSnSb2I, optimized geometry, DFT PBE" dos_ef_per_ev_atom=0.83 crystal_system=tetragonal final_energy_ha_per_atom=-0.168 pbc="T T T"
Re 0.000 0.000 0.000
Sn 2.555 2.555 2.940
Sb 0.000 2.555 0.000
Sb 2.555 0.000 0.000
I 0.000 0.000 2.940

# 4
3
Lattice="0.000 2.261 6.989 1.564 0.000 6.989 1.564 2.261 0.000" Properties=species:S:1:pos:R:3 comment="TcAgW, optimized geometry, DFT PBE" formation_energy_mev_per_atom=414 dos_ef_per_ev_atom=0.73 crystal_system=orthorhombic pbc="T T T"
Tc 0.000 0.000 0.000
Ag 1.564 2.261 4.523
W 1.564 2.261 9.038

# 5
5
Lattice="4.121 0.000 0.000 0.000 4.121 0.000 0.000 0.000 4.623" Properties=species:S:1:pos:R:3 comment="HAuN2F, optimized geometry, DFT PBE" dos_ef_per_ev_atom=0.33 crystal_system=tetragonal final_energy_ha_per_atom=-0.119 pbc="T T T"
H 0.000 0.000 0.000
Au 2.060 2.060 2.311
N 0.000 2.060 2.311
N 2.060 0.000 2.311
F 2.060 2.060 0.000

# 6
5
Lattice="6.229 0.000 0.000 0.000 6.229 0.000 0.000 0.000 4.161" Properties=species:S:1:pos:R:3 comment="TlPbI2O, optimized geometry, DFT PBE" dos_ef_per_ev_atom=0.39 crystal_system=tetragonal final_energy_ha_per_atom=-0.110 pbc="T T T"
Tl 0.000 0.000 0.000
Pb 3.115 3.115 2.080
I 0.000 3.115 0.000
I 3.115 0.000 0.000
O 0.000 0.000 2.080

# 7
12
Lattice="3.597 -6.222 0.000 3.597 6.222 0.000 -2.397 0.000 6.751" Properties=species:S:1:pos:R:3 comment="Nd2SmTh3P6, optimized geometry, DFT PBE" formation_energy_mev_per_atom=-1570 dos_ef_per_ev_atom=0.43 crystal_system=monoclinic pbc="T T T"
Nd 3.597 4.150 0.000
Nd 3.597 -4.150 0.000
Sm 3.597 0.000 0.000
Th -1.198 0.000 3.376
Th 2.399 2.078 3.376
Th 2.399 -2.078 3.376
P 0.009 2.062 5.043
P 1.214 0.000 1.711
P 0.009 -2.062 5.043
P 4.789 2.062 1.708
P 3.584 0.000 5.040
P 4.789 -2.062 1.708

# 8
3
Lattice="4.072 0.000 0.000 -2.036 3.527 0.000 0.000 0.000 10.835" Properties=species:S:1:pos:R:3 comment="RbCaAc, optimized geometry, DFT PBE" formation_energy_mev_per_atom=197 dos_ef_per_ev_atom=1.35 crystal_system=trigonal pbc="T T T"
Rb 0.000 0.000 0.000
Ca 2.036 1.176 3.843
Ac 0.000 2.351 6.935